# AlCr2PtO, relaxed, DFT GGA+U
# E_tot in eV/f.u.: -26.232
# Mass density in Mg/m³: 4.847
# Spin magnetization in Bohr magnetons per cell: 8.96
data_AlCr2PtO
_space_group_name_H-M_alt 'P 4/m m m'
_space_group_IT_number 123
_space_group_name_Hall '-P 4 2'
_cell_length_a 5.016
_cell_length_b 5.016
_cell_length_c 4.658
_cell_angle_alpha 90.00
_cell_angle_beta 90.00
_cell_angle_gamma 90.00
loop_
_atom_site_label
_atom_site_type_symbol
_atom_site_fract_x
_atom_site_fract_y
_atom_site_fract_z
Al1 Al 0.000 0.000 0.000
Cr1 Cr 0.000 0.500 0.500
Pt1 Pt 0.000 0.000 0.500
O1 O 0.500 0.500 0.000